(1)
This record from Alexandria via LeMat-Bulk describes a relaxed structure of Er15ThSc4. The functional is PBE-GGA.

Output
Its total energy is -0.18432 Ha/atom. The calculation puts the magnetic moment at 0.00 μB per cell. As for the volume: 587.2 Å³ per cell. Its density of states at the Fermi level is 32.49 states/eV per cell.

Cell: 4.9012 4.9012 24.4446 Å, 90.00 90.00 90.00°
Last column: nearest neighbours and their distance in Å.
Space group P4/mmm (No. 123)
One atom of each set of equivalent atoms:
Er 0.0000 0.0000 0.0000 x1  4 Th 3.47, 8 Er 3.51
Er 0.0000 0.0000 0.2042 x2  8 Er 3.42-3.49, 4 Sc 3.47
Er 0.0000 0.0000 0.4008 x2  8 Er 3.45, 4 Sc 3.47
Er 0.0000 0.5000 0.1028 x4  2 Sc 3.46, 8 Er 3.47-3.51, 2 Th 3.51
Er 0.0000 0.5000 0.3017 x4  8 Er 3.42-3.47, 4 Sc 3.45
Er 0.0000 0.5000 0.5000 x2  4 Sc 3.44, 8 Er 3.45-3.47
Th 0.5000 0.5000 0.0000 x1  12 Er 3.47-3.51
Sc 0.5000 0.5000 0.2025 x2  12 Er 3.45-3.47
Sc 0.5000 0.5000 0.4010 x2  12 Er 3.44-3.47

***

(2)
This record from Alexandria via LeMat-Bulk describes a relaxed structure of ErTh2Sc9. The functional is PBE-GGA.

Output
The calculation puts the magnetic moment at 0.00 μB per cell. As for the volume: 314.4 Å³ per cell. The energy relative to the lowest polymorph listed for this composition comes out at 0.0 meV per atom. Its density of states at the Fermi level is 20.53 states/eV per cell.

Cell: 5.3244 5.3244 11.0908 Å, 90.00 90.00 90.00°
Last column: nearest neighbours and their distance in Å.
Space group P4/mmm (No. 123)
One atom of each set of equivalent atoms:
Er 0.0000 0.0000 0.0000 x1  8 Sc 3.21
Th 0.0000 0.0000 0.3334 x2  8 Sc 3.24-3.27
Sc 0.0000 0.5000 0.1625 x4  2 Er 3.21, 4 Sc 3.21-3.24, 2 Th 3.27
Sc 0.0000 0.5000 0.5000 x2  4 Th 3.24, 4 Sc 3.27
Sc 0.5000 0.5000 0.0000 x1  8 Sc 3.21
Sc 0.5000 0.5000 0.3295 x2  8 Sc 3.24-3.27

***

(3)
This record from Alexandria via LeMat-Bulk describes a relaxed structure of Er4Th3Sc. The functional is PBE-GGA.

Output
The calculation puts the magnetic moment at 0.00 μB per cell. As for the volume: 493.9 Å³ per cell. The energy relative to the lowest polymorph listed for this composition comes out at 0.0 meV per atom. Its density of states at the Fermi level is 25.57 states/eV per cell.

Cell: 11.3650 7.0789 6.1391 Å, 90.00 90.00 90.00°
Last column: nearest neighbours and their distance in Å.
Space group Pmn2_1 (No. 31)
One atom of each set of equivalent atoms:
Er 0.0000 0.1296 0.0000 x2  2 Sc 3.47-3.60, 6 Er 3.50-3.62, 4 Th 3.51-3.57
Er 0.0000 0.8671 0.5061 x2  2 Sc 3.47-3.61, 6 Er 3.49-3.62, 4 Th 3.51-3.52
Er 0.2455 0.1271 0.3455 x4  5 Th 3.44-3.65, 1 Sc 3.46, 6 Er 3.49-3.57
Th 0.0000 0.6254 0.0073 x2  4 Th 3.46-3.49, 6 Er 3.51-3.57, 2 Sc 3.51-3.57
Th 0.2489 0.6132 0.3321 x4  6 Er 3.44-3.65, 4 Th 3.46-3.49, 2 Sc 3.47
Sc 0.0000 0.3764 0.5121 x2  6 Er 3.46-3.61, 6 Th 3.47-3.57

***

(4)
This record from Alexandria via LeMat-Bulk describes a relaxed structure of Er3ThSc2. The functional is PBE-GGA.

Output
Its total energy is -0.20502 Ha/atom. The calculation puts the magnetic moment at 0.00 μB per cell. As for the volume: 692.7 Å³ per cell. Its density of states at the Fermi level is 38.60 states/eV per cell.

Cell: 10.8644 4.8514 13.8429 Å, 90.00 108.31 90.00°
Last column: nearest neighbours and their distance in Å.
Space group C2/m (No. 12)
One atom of each set of equivalent atoms:
Er 0.1636 0.0000 0.0417 x4  6 Er 3.38-3.48, 5 Sc 3.42-3.50, 1 Th 3.44
Er 0.1639 0.0000 0.7914 x4  3 Th 3.39-3.46, 5 Sc 3.42-3.44, 4 Er 3.45-3.47
Er 0.1662 0.0000 0.5425 x4  5 Sc 3.42-3.47, 4 Er 3.43-3.45, 3 Th 3.46-3.49
Th 0.1645 0.0000 0.2902 x4  7 Er 3.39-3.49, 5 Sc 3.39-3.48
Sc 0.0020 0.5000 0.3717 x4  2 Sc 3.38-3.57, 3 Th 3.39-3.48, 7 Er 3.42-3.47
Sc 0.0028 0.5000 0.1277 x4  2 Sc 3.38-3.52, 2 Th 3.40, 8 Er 3.42-3.50

***

(5)
This record from Alexandria via LeMat-Bulk describes a relaxed structure of ErThSc. The functional is PBE-GGA.

Output
The calculation puts the magnetic moment at 0.00 μB per cell. As for the volume: 177.7 Å³ per cell. The energy relative to the lowest polymorph listed for this composition comes out at 282.5 meV per atom. Its density of states at the Fermi level is 8.33 states/eV per cell.

Cell: 4.4366 4.4366 9.0278 Å, 90.00 90.00 90.00°
Last column: nearest neighbours and their distance in Å.
Space group P4/nmm (No. 129, origin choice 2)
One atom of each set of equivalent atoms:
Er 0.2500 0.7500 0.0000 x2  4 Er 3.14, 4 Sc 3.27
Th 0.2500 0.2500 0.3894 x2  5 Sc 3.11-3.33
Sc 0.2500 0.2500 0.7341 x2  5 Th 3.11-3.33, 4 Er 3.27

***

(6)
This record from Alexandria via LeMat-Bulk describes a relaxed structure of Er8ThSc6. The functional is PBE-GGA.

Output
Its total energy is -0.19393 Ha/atom. The calculation puts the magnetic moment at 0.00 μB per cell. As for the volume: 1289.1 Å³ per cell. Its density of states at the Fermi level is 70.89 states/eV per cell.

Cell: 9.3793 9.3793 16.9202 Å, 90.00 90.00 120.00°
Last column: nearest neighbours and their distance in Å.
Space group R-3 (No. 148, hexagonal axes)
One atom of each set of equivalent atoms:
Er 0.0000 0.0000 0.0920 x6  3 Sc 3.01, 1 Er 3.11
Er 0.0577 0.8175 0.6714 x18  3 Sc 3.14-3.34, 2 Er 3.52
Th 0.0000 0.0000 0.5000 x3  6 Sc 3.20, 6 Er 3.54
Sc 0.0315 0.7342 0.1766 x18  4 Er 3.01-3.34, 1 Th 3.20, 3 Sc 3.21-3.29

***

(7)
This record from Alexandria via LeMat-Bulk describes a relaxed structure of Er2Th3Sc5. The functional is PBE-GGA.

Output
Its total energy is -0.22988 Ha/atom. The calculation puts the magnetic moment at 0.00 μB per cell. As for the volume: 561.3 Å³ per cell. Its density of states at the Fermi level is 31.65 states/eV per cell.

Cell: 7.5647 9.0136 9.0635 Å, 85.67 89.36 65.66°
Last column: nearest neighbours and their distance in Å.
Space group P-1 (No. 2)
One atom of each set of equivalent atoms:
Er 0.0272 0.0514 0.1747 x2  7 Sc 3.39-3.44, 4 Th 3.41-3.46, 1 Er 3.44
Er 0.2224 0.4552 0.5729 x2  1 Er 3.38, 5 Th 3.40-3.45, 6 Sc 3.43-3.48
Th 0.1281 0.2533 0.8740 x2  8 Sc 3.38-3.44, 3 Er 3.40-3.46, 1 Th 3.42
Th 0.3239 0.6520 0.2715 x2  6 Sc 3.37-3.42, 3 Er 3.40-3.45, 3 Th 3.42-3.51
Th 0.3737 0.7569 0.6219 x2  7 Sc 3.34-3.44, 3 Er 3.41-3.42, 2 Th 3.45-3.51
Sc 0.0784 0.1460 0.5278 x2  4 Th 3.34-3.43, 4 Sc 3.37-3.50, 4 Er 3.39-3.44
Sc 0.1797 0.3528 0.2184 x2  5 Sc 3.32-3.50, 4 Th 3.37-3.41, 3 Er 3.41-3.46
Sc 0.2776 0.5527 0.9265 x2  5 Sc 3.34-3.46, 5 Th 3.38-3.44, 2 Er 3.42-3.46
Sc 0.4274 0.8513 0.9707 x2  6 Sc 3.32-3.46, 4 Th 3.39-3.44, 2 Er 3.42-3.43
Sc 0.4757 0.9510 0.3230 x2  6 Sc 3.33-3.45, 4 Th 3.34-3.40, 2 Er 3.39-3.48

***

(8)
This record from Alexandria via LeMat-Bulk describes a relaxed structure of Er2Th3Sc2. The functional is PBE-GGA.

Output
The calculation puts the magnetic moment at 0.00 μB per cell. As for the volume: 414.9 Å³ per cell. The energy relative to the lowest polymorph listed for this composition comes out at 0.0 meV per atom. Its density of states at the Fermi level is 20.85 states/eV per cell.

Cell: 15.2444 3.5220 8.3979 Å, 90.00 113.06 90.00°
Last column: nearest neighbours and their distance in Å.
Space group C2/m (No. 12)
One atom of each set of equivalent atoms:
Er 0.0691 0.0000 0.2128 x4  3 Er 3.36-3.52, 5 Th 3.44-3.49, 4 Sc 3.50-3.54
Th 0.0000 0.5000 0.5000 x2  2 Sc 3.39, 4 Er 3.47, 6 Th 3.50-3.52
Th 0.2158 0.0000 0.6452 x4  3 Sc 3.38-3.42, 3 Er 3.44-3.49, 6 Th 3.48-3.52
Sc 0.1466 0.5000 0.9259 x4  4 Th 3.38-3.42, 4 Sc 3.39-3.52, 4 Er 3.50-3.54

***

- magnetic moment of number 1 (Er15ThSc4)?
  0.00 μB per cell